The following is a DFT calculation (GGA-PBE) of a geometry-optimized Li2MoPb structure.

The value obtained for the final energy is -4.2474 eV/atom. For the formation energy, the calculation gives 0.344 eV/atom.

It has space group P4/mmm (No. 123), with a = 4.0142 Å, b = 4.0142 Å, c = 4.2831 Å, α = 90.00°, β = 90.00° and γ = 90.00°. The asymmetric unit holds Li at (0.0000, 0.5000, 0.0000), Mo at (0.0000, 0.0000, 0.5000) and Pb at (0.5000, 0.5000, 0.5000).